(1)
PBE Cs2CrHgI, optimized geometry; size of the total moment = 1.06 μB/atom; symmetry = No. 123; crystal system = tetragonal; distance to the lowest polymorph of the same formula = 0 meV per atom; formation energy (no corrections) = -9 kJ per mole of atoms; density of states at the Fermi level = 3.22 states/eV/f.u.
1.0
7.085 0.000 0.000
0.000 5.413 0.000
0.000 0.000 7.085
Cs I Hg Cr
2 1 1 1
Direct
0.500 0.000 0.000 Cs
0.000 0.000 0.500 Cs
0.500 0.500 0.500 I
0.000 0.000 0.000 Hg
0.000 0.500 0.000 Cr

***

(2)
PBE ReMo2Ir, optimized geometry; size of the total moment = 0.00 μB/atom; symmetry = No. 122; crystal system = tetragonal; distance to the lowest polymorph of the same formula = 802 meV per atom; density of states at the Fermi level = 3.90 states/eV/f.u.; energy of formation from the pure elements = 0.732 eV/atom
1.0
-3.371 1.274 1.418
-1.837 -1.395 -3.111
-3.787 -7.864 3.353
Ir Mo Re
2 4 2
Direct
0.000 0.000 0.000 Ir
0.750 0.250 0.500 Ir
0.620 0.125 0.250 Mo
0.130 0.625 0.250 Mo
0.875 0.870 0.750 Mo
0.375 0.380 0.750 Mo
0.250 0.750 0.500 Re
0.500 0.500 0.000 Re

***

(3)
PBE SrLiCu2F8, optimized geometry; size of the total moment = 0.08 μB/atom; symmetry = No. 82; crystal system = tetragonal; formation energy (no corrections) = -215 kJ per mole of atoms; density of states at the Fermi level = 5.15 states/eV/f.u.
1.0
5.542 0.000 0.000
0.000 5.542 0.000
-2.771 -2.771 5.005
F Sr Cu Li
8 1 2 1
Direct
0.128 0.419 0.455 F
0.964 0.872 0.545 F
0.367 0.229 0.053 F
0.771 0.314 0.947 F
0.686 0.824 0.053 F
0.176 0.633 0.947 F
0.581 0.673 0.545 F
0.327 0.036 0.455 F
0.750 0.250 0.500 Sr
0.500 0.500 0.000 Cu
0.250 0.750 0.500 Cu
0.000 0.000 0.000 Li

***

(4)
PBE YErSn, optimized geometry; size of the total moment = 0.00 μB/atom; symmetry = No. 139; crystal system = tetragonal; distance to the lowest polymorph of the same formula = 0 meV per atom; density of states at the Fermi level = 3.71 states/eV/f.u.; energy of formation from the pure elements = -0.611 eV/atom
1.0
4.456 0.000 -0.929
-0.194 4.452 -0.929
-0.473 -0.494 8.880
Y Sn Er
2 2 2
Direct
0.824 0.824 0.648 Y
0.176 0.176 0.352 Y
0.364 0.364 0.728 Sn
0.636 0.636 0.272 Sn
0.500 0.000 0.000 Er
0.000 0.500 0.000 Er

***

(5)
PBE FeAgSb2, optimized geometry; size of the total moment = 0.67 μB/atom; symmetry = No. 65; crystal system = orthorhombic; distance to the lowest polymorph of the same formula = 237 meV per atom; formation energy (no corrections) = 38 kJ per mole of atoms; density of states at the Fermi level = 3.90 states/eV/f.u.
1.0
5.114 0.015 -0.034
-0.544 5.085 -0.034
0.023 0.026 3.172
Sb Fe Ag
2 1 1
Direct
0.000 0.000 0.000 Sb
0.500 0.500 0.000 Sb
0.000 0.500 0.500 Fe
0.500 0.000 0.500 Ag

***

(6)
PBE HfRe2RuI, optimized geometry; size of the total moment = 0.00 μB/atom; symmetry = No. 123; crystal system = tetragonal; formation energy (no corrections) = 199 kJ per mole of atoms; density of states at the Fermi level = 5.29 states/eV/f.u.
1.0
-1.583 -0.514 -4.497
1.572 -4.396 -0.050
-4.229 -1.531 1.664
Ru Re Hf I
1 2 1 1
Direct
0.000 0.500 0.000 Ru
0.000 0.000 0.500 Re
0.500 0.000 0.000 Re
0.500 0.500 0.500 Hf
0.000 0.000 0.000 I